Density functional theory data (PBE) for a geometry-optimized ScSiCl2 structure.

Summary:
Volume: 25.0 Å³ per atom
SG: R-3m
Energy above the most stable polymorph in this dataset: 153 meV/atom

a b c (Å): 10.697 10.697 10.697
angles (deg): 17.81 17.81 17.81
Positions (direct):
1 Sc 0.000 0.000 0.000
2 Si 0.500 0.500 0.500
3 Cl 0.281 0.281 0.281
4 Cl 0.719 0.719 0.719



Density functional theory data (PBE) for a geometry-optimized ScSiCl2 structure.

Summary:
Volume: 18.8 Å³ per atom
SG: Fm-3m
Energy above the most stable polymorph in this dataset: 638 meV/atom

a b c (Å): 4.741 4.741 4.741
angles (deg): 60.00 60.00 60.00
Positions (direct):
1 Sc 0.000 0.000 0.000
2 Si 0.500 0.500 0.500
3 Cl 0.250 0.250 0.250
4 Cl 0.750 0.750 0.750



Density functional theory data (PBE) for a geometry-optimized Sc4SiCl structure.

Summary:
Volume: 22.4 Å³ per atom
SG: F-43m

a b c (Å): 5.753 5.753 5.753
angles (deg): 60.00 60.00 60.00
Positions (direct):
1 Sc 0.123 0.123 0.123
2 Sc 0.123 0.123 0.632
3 Sc 0.123 0.632 0.123
4 Sc 0.632 0.123 0.123
5 Si 0.750 0.750 0.750
6 Cl 0.500 0.500 0.500



Density functional theory data (PBE) for a geometry-optimized Sc2SiCl structure.

Summary:
Volume: 21.2 Å³ per atom
SG: R-3m
Energy above the most stable polymorph in this dataset: 721 meV/atom

a b c (Å): 9.599 9.599 9.599
angles (deg): 19.34 19.34 19.34
Positions (direct):
1 Sc 0.094 0.094 0.094
2 Sc 0.906 0.906 0.906
3 Si 0.000 0.000 0.000
4 Cl 0.500 0.500 0.500



no.,uncorrected formation energy (eV per atom),DFT total energy (eV/atom)
1,-0.796,-4.66
2,-0.311,-4.17
3,0.228,-5.21
4,-0.287,-5.27